# 1
Here is a relaxed structure of AcNdMgIr from Alexandria. Energies are from PBE-GGA.

The calculation puts the volume at 26.8 Å³ per atom. As for the formation energy: -0.22 eV/atom. The total magnetization is 0.0 μB/cell.

a = 7.5434 Å, b = 7.5434 Å, c = 7.5434 Å
α = 90.00°, β = 90.00°, γ = 90.00°
Last column: nearest neighbours and their distance in Å.
Space group F-43m (No. 216)
One atom of each set of equivalent atoms:
Ac  0.0000  0.0000  0.0000 x4  4 Mg 3.27, 4 Ir 3.27
Nd  0.0000  0.0000  0.5000 x4  4 Mg 3.27, 4 Ir 3.27
Mg  0.2500  0.2500  0.7500 x4  4 Ac 3.27, 4 Nd 3.27
Ir  0.2500  0.2500  0.2500 x4  4 Ac 3.27, 4 Nd 3.27



# 2
Here is a relaxed structure of GaHgSb from Alexandria. Energies are from PBE-GGA.

The calculation puts the volume at 24.4 Å³ per atom. The total magnetization is 0.0 μB/cell. The value obtained for the formation energy from raw total energies is 144 meV/atom.

a = 3.6312 Å, b = 3.6312 Å, c = 11.1086 Å
α = 90.00°, β = 90.00°, γ = 90.00°
Last column: nearest neighbours and their distance in Å.
Space group I4mm (No. 107)
One atom of each set of equivalent atoms:
Ga  0.0000  0.0000  0.0000 x2  4 Sb 3.06, 4 Hg 3.13
Hg  0.0000  0.0000  0.6615 x2  4 Ga 3.13, 5 Sb 3.32-3.45
Sb  0.0000  0.0000  0.3509 x2  4 Ga 3.06, 4 Hg 3.32



# 3
Here is a relaxed structure of Tl4I5 from Alexandria. Energies are from PBE-GGA.

The calculation puts the volume at 40.5 Å³ per atom. The total magnetization is 0.0 μB/cell. The value obtained for the formation energy from raw total energies is -398 meV/atom.

a = 12.7810 Å, b = 12.7810 Å, c = 4.4573 Å
α = 90.00°, β = 90.00°, γ = 90.00°
Last column: nearest neighbours and their distance in Å.
Space group I4/mmm (No. 139)
One atom of each set of equivalent atoms:
Tl  0.1629  0.1629  0.0000 x8  6 I 3.52-3.69, 2 Tl 3.86
I  0.0000  0.0000  0.5000 x2  8 Tl 3.69, 4 I 3.84
I  0.0000  0.3008  0.5000 x8  4 Tl 3.52, 1 I 3.84



# 4
Here is a relaxed structure of CdInIBr4 from Alexandria. Energies are from PBE-GGA.

The calculation puts the volume at 49.6 Å³ per atom. The total magnetization is 0.0 μB/cell. The value obtained for the formation energy from raw total energies is -733 meV/atom.

a = 16.2719 Å, b = 8.0591 Å, c = 10.7083 Å
α = 90.00°, β = 98.54°, γ = 90.00°
Last column: nearest neighbours and their distance in Å.
Space group C2/m (No. 12)
One atom of each set of equivalent atoms:
Cd  0.0987  0.0000  0.0990 x4  2 Br 2.69, 2 I 2.80-2.85
In  0.1232  0.5000  0.2744 x4  4 Br 2.48-2.66
I  0.0605  0.0000  0.8308 x4  2 Cd 2.80-2.85
Br  0.0263  0.5000  0.8155 x4  1 In 2.48
Br  0.1689  0.5000  0.5057 x4  1 In 2.48
Br  0.2018  0.2531  0.1775 x8  1 In 2.66, 1 Cd 2.69



# 5
Here is a relaxed structure of Pm4Cd2Os from Alexandria. Energies are from PBE-GGA.

The calculation puts the volume at 28.9 Å³ per atom. As for the formation energy: -0.06 eV/atom. The total magnetization is 0.0 μB/cell.

a = 5.2515 Å, b = 5.2515 Å, c = 25.3922 Å
α = 90.00°, β = 90.00°, γ = 120.00°
Last column: nearest neighbours and their distance in Å.
Space group R-3m (No. 166, hexagonal axes)
One atom of each set of equivalent atoms:
Pm  0.0000  0.0000  0.1173 x6  1 Os 2.98, 4 Cd 3.12-3.25
Pm  0.0000  0.0000  0.3703 x6  3 Os 3.17, 4 Cd 3.18-3.30
Cd  0.0000  0.0000  0.2452 x6  8 Pm 3.12-3.30
Os  0.0000  0.0000  0.0000 x3  8 Pm 2.98-3.17



# 6
Here is a relaxed structure of Al2IrRu from Alexandria. Energies are from PBE-GGA.

The calculation puts the volume at 13.6 Å³ per atom. As for the formation energy: -0.87 eV/atom. The total magnetization is 0.0 μB/cell.

a = 6.0130 Å, b = 6.0130 Å, c = 6.0130 Å
α = 90.00°, β = 90.00°, γ = 90.00°
Last column: nearest neighbours and their distance in Å.
Space group Fm-3m (No. 225)
One atom of each set of equivalent atoms:
Al  0.2500  0.2500  0.2500 x8  4 Ru 2.60, 4 Ir 2.60
Ir  0.0000  0.0000  0.0000 x4  8 Al 2.60
Ru  0.0000  0.0000  0.5000 x4  8 Al 2.60



| no. | ρ (g/cm³) |
| --- | --- |
| 1 | 9.10 |
| 2 | 8.89 |
| 3 | 6.62 |
| 4 | 3.22 |
| 5 | 8.17 |
| 6 | 10.61 |